Computed, not measured: CdAs2OsBr after structural relaxation at the PBE level of DFT.

* VASP energy: -20.823 eV for the cell shown
* energy above the most stable polymorph in this dataset: 0.00 eV/f.u.

CIF file:
```
data_CdAs2OsBr
_chemical_formula_sum 'Cd1 As2 Os1 Br1'
_cell_length_a 4.7445
_cell_length_b 4.7445
_cell_length_c 5.5602
_cell_angle_alpha 90.00
_cell_angle_beta 90.00
_cell_angle_gamma 90.00
_symmetry_space_group_name_H-M 'P 4/m m m'
_symmetry_Int_Tables_number 123
_symmetry_space_group_name_Hall '-P 4 2'
loop_
_atom_site_label
_atom_site_fract_x
_atom_site_fract_y
_atom_site_fract_z
Cd1 0.0000 0.0000 0.0000
As1 0.0000 0.5000 0.5000
Os1 0.5000 0.5000 0.5000
Br1 0.5000 0.5000 0.0000
```

Computed, not measured: Pr6Bi2Rh after structural relaxation at the PBE level of DFT.

* VASP energy: -92.696 eV for the cell shown
* calculated formation energy: -2.6 eV per formula unit

CIF file:
```
data_Pr6Bi2Rh
_chemical_formula_sum 'Pr12 Bi4 Rh2'
_cell_length_a 7.1793
_cell_length_b 7.1793
_cell_length_c 14.0977
_cell_angle_alpha 90.00
_cell_angle_beta 90.00
_cell_angle_gamma 90.00
_symmetry_space_group_name_H-M 'P 42/m n m'
_symmetry_Int_Tables_number 136
_symmetry_space_group_name_Hall '-P 4n 2n'
loop_
_atom_site_label
_atom_site_fract_x
_atom_site_fract_y
_atom_site_fract_z
Pr1 0.1892 0.1892 0.1461
Pr2 0.2167 0.2167 0.5000
Bi1 0.0000 0.0000 0.3295
Rh1 0.0000 0.0000 0.0000
```

Computed, not measured: Cs2TlF5 after structural relaxation at the PBE level of DFT.

* VASP energy: -63.597 eV for the cell shown

CIF file:
```
data_Cs2TlF5
_chemical_formula_sum 'Cs4 Tl2 F10'
_cell_length_a 6.9945
_cell_length_b 6.9945
_cell_length_c 8.7079
_cell_angle_alpha 90.00
_cell_angle_beta 90.00
_cell_angle_gamma 90.00
_symmetry_space_group_name_H-M 'I 4 m m'
_symmetry_Int_Tables_number 107
_symmetry_space_group_name_Hall 'I 4 -2'
loop_
_atom_site_label
_atom_site_fract_x
_atom_site_fract_y
_atom_site_fract_z
Cs1 0.0000 0.5000 0.0000
Tl1 0.0000 0.0000 0.2618
F1 0.0000 0.0000 0.5038
F2 0.2130 0.2130 0.2084
```

Computed, not measured: BeCdGe after structural relaxation at the PBE level of DFT.

* VASP energy: -33.939 eV for the cell shown
* energy above the most stable polymorph in this dataset: 0.21 eV/f.u.
* calculated formation energy: 0.8 eV per formula unit

CIF file:
```
data_BeCdGe
_chemical_formula_sum 'Be4 Cd4 Ge4'
_cell_length_a 6.2534
_cell_length_b 3.6236
_cell_length_c 9.7012
_cell_angle_alpha 90.00
_cell_angle_beta 103.09
_cell_angle_gamma 90.00
_symmetry_space_group_name_H-M 'C 1 m 1'
_symmetry_Int_Tables_number 8
_symmetry_space_group_name_Hall 'C -2y'
loop_
_atom_site_label
_atom_site_fract_x
_atom_site_fract_y
_atom_site_fract_z
Be1 0.0000 0.0000 0.0000
Be2 0.1904 0.5000 0.0686
Cd1 0.2015 0.0000 0.6163
Cd2 0.2916 0.5000 0.3833
Ge1 0.1079 0.5000 0.8310
Ge2 0.3872 0.0000 0.1568
```